An optimized crystal structure of HfCuAsAu, computed with PBE-GGA.

Unit cell a=4.617 b=4.617 c=4.617 alpha=60.00 beta=60.00 gamma=60.00
Element x y z (fractional)
As1 0.000 0.000 0.000
Au1 0.500 0.500 0.500
Cu1 0.750 0.750 0.750
Hf1 0.250 0.250 0.250

SG	No. 216
theoretical density	12.3	Mg/m³
total magnetic moment	0.01	Bohr magnetons per cell
DFT total energy	-5.61	eV/atom

An optimized crystal structure of LuTaGaCo, computed with PBE-GGA.

Unit cell a=4.573 b=4.573 c=4.573 alpha=60.00 beta=60.00 gamma=60.00
Last column: magnetic moment on the atom in μB.
Element x y z (fractional)
Co1 0.750 0.750 0.750  0.46
Ga1 0.000 0.000 0.000  0.00
Lu1 0.500 0.500 0.500  0.23
Ta1 0.250 0.250 0.250  1.08

SG	No. 216
theoretical density	11.9	Mg/m³
total magnetic moment	2.00	Bohr magnetons per cell
DFT total energy	-6.36	eV/atom

An optimized crystal structure of Cu2Br3Cl, computed with PBE-GGA.

Unit cell a=3.687 b=3.740 c=12.017 alpha=90.00 beta=90.00 gamma=90.00
Element x y z (fractional)
Br1 0.500 0.500 0.375
Br2 0.000 0.000 0.624
Br3 0.500 0.500 0.881
Cl1 0.000 0.000 0.114
Cu1 0.500 0.000 0.006
Cu2 0.000 0.500 0.500

SG	No. 25
theoretical density	4.0	Mg/m³
DFT total energy	-2.68	eV/atom

An optimized crystal structure of LaPr3Al4, computed with PBE-GGA.

Unit cell a=6.072 b=5.762 c=6.077 alpha=90.00 beta=101.09 gamma=90.00
Element x y z (fractional)
Al1 0.197 0.000 0.198
Al2 0.500 0.250 0.500
Al3 0.500 0.750 0.500
Al4 0.803 0.500 0.802
La1 0.660 0.000 0.018
Pr1 0.981 0.500 0.340
Pr2 0.020 0.000 0.661
Pr3 0.340 0.500 0.980

SG	No. 6
theoretical density	5.3	Mg/m³
total magnetic moment	0.00	Bohr magnetons per cell
DFT total energy	-4.67	eV/atom

An optimized crystal structure of Gd2GaAu, computed with PBE-GGA.

Unit cell a=4.532 b=5.933 c=5.933 alpha=38.18 beta=90.00 gamma=90.00
Element x y z (fractional)
Au1 0.000 0.420 0.420
Ga1 0.500 0.581 0.581
Gd1 0.000 0.142 0.142
Gd2 0.500 0.857 0.857

SG	No. 38
theoretical density	9.8	Mg/m³
total magnetic moment	0.03	Bohr magnetons per cell
DFT total energy	-4.61	eV/atom

An optimized crystal structure of SrZrBe2, computed with PBE-GGA.

Unit cell a=4.787 b=4.787 c=4.787 alpha=60.00 beta=60.00 gamma=60.00
Last column: magnetic moment on the atom in μB.
Element x y z (fractional)
Be1 0.000 0.000 0.000  0.03
Be2 0.750 0.750 0.750  -0.02
Sr1 0.500 0.500 0.500  0.15
Zr1 0.250 0.250 0.250  1.06

SG	No. 216
theoretical density	4.2	Mg/m³
total magnetic moment	1.87	Bohr magnetons per cell
DFT total energy	-3.43	eV/atom